! Na2NdSi2O6 | Alexandria via LeMat-Bulk | PBE | relaxed; values from VASP
! Density in g/cm³: 2.77
! V in Å³ per cell: 205.5
! SG: P-3
! Calculated total energy in eV/atom: -6.6904
&SYSTEM
  ibrav = 0, nat = 11, ntyp = 4
/
ATOMIC_SPECIES
Na 22.99 Na.upf
O 16.00 O.upf
Si 28.09 Si.upf
Nd 144.24 Nd.upf
CELL_PARAMETERS angstrom
-1.176 -2.340 5.026
-3.733 -0.382 -4.247
3.151 -6.310 -2.201
ATOMIC_POSITIONS crystal
Na 0.667 0.333 0.700
Na 0.333 0.667 0.300
O 0.696 0.628 0.188
O 0.932 0.304 0.188
O 0.068 0.696 0.812
O 0.628 0.932 0.812
O 0.304 0.372 0.812
O 0.372 0.068 0.188
Si 0.333 0.667 0.786
Si 0.667 0.333 0.214
Nd 0.000 0.000 0.000